Entry 1:
Entry from the Alexandria database: Cd2SiPt after structural relaxation (PBE-GGA). Values from VASP.

The structure in Quantum ESPRESSO input format:
```
&SYSTEM
  ibrav = 0, nat = 4, ntyp = 3
/
ATOMIC_SPECIES
Cd 112.41 Cd.upf
Pt 195.08 Pt.upf
Si 28.09 Si.upf
CELL_PARAMETERS angstrom
5.276 -0.016 0.019
4.399 2.914 0.019
0.470 0.141 4.673
ATOMIC_POSITIONS angstrom
Cd 9.567 2.865 0.057
Cd 5.181 1.552 2.335
Pt 2.536 0.760 1.177
Si 7.609 2.279 3.532
```


Entry 2:
! CdSiPt4 PBE-GGA relaxed; values from VASP
&SYSTEM
  ibrav = 0, nat = 6, ntyp = 3
/
ATOMIC_SPECIES
Cd 112.41 Cd.upf
Si 28.09 Si.upf
Pt 195.08 Pt.upf
CELL_PARAMETERS angstrom
-3.987 -3.081 1.710
-4.946 0.816 -1.784
-2.251 -3.514 -3.301
ATOMIC_POSITIONS angstrom
Cd 0.000 0.000 0.000
Si -2.796 -1.445 -0.844
Pt -5.865 -1.856 -0.460
Pt -4.518 -4.019 -1.218
Pt -6.989 -3.611 -2.110
Pt -4.997 -2.072 -2.964
! E above lowest polymorph: 446 meV/atom


Entry 3:
Entry from the Alexandria database: Cd2SiPt after structural relaxation (PBE-GGA). Values from VASP.

The structure in Quantum ESPRESSO input format:
```
&SYSTEM
  ibrav = 0, nat = 4, ntyp = 3
/
ATOMIC_SPECIES
Cd 112.41 Cd.upf
Pt 195.08 Pt.upf
Si 28.09 Si.upf
CELL_PARAMETERS angstrom
4.244 -0.004 0.015
2.154 3.656 0.015
2.174 1.241 4.985
ATOMIC_POSITIONS angstrom
Cd 2.175 1.241 4.805
Cd 2.132 1.217 1.425
Pt 4.300 2.455 3.307
Si 6.425 3.668 2.970
```


Entry 4:
Entry from the Alexandria database: CdSi2Pt after structural relaxation (PBE-GGA). Values from VASP.

The structure in Quantum ESPRESSO input format:
```
&SYSTEM
  ibrav = 0, nat = 4, ntyp = 3
/
ATOMIC_SPECIES
Cd 112.41 Cd.upf
Pt 195.08 Pt.upf
Si 28.09 Si.upf
CELL_PARAMETERS angstrom
-4.147 2.991 -2.977
-1.876 -1.582 -5.384
0.712 -0.881 5.807
ATOMIC_POSITIONS angstrom
Cd -3.223 1.408 -0.675
Pt -2.088 -0.879 -1.878
Si -0.237 0.055 -0.329
Si -2.775 0.649 -3.852
```


Entry 5:
Entry from the Alexandria database: CdSiPt5 after structural relaxation (PBE-GGA). Values from VASP.

The structure in Quantum ESPRESSO input format:
```
&SYSTEM
  ibrav = 0, nat = 7, ntyp = 3
/
ATOMIC_SPECIES
Cd 112.41 Cd.upf
Si 28.09 Si.upf
Pt 195.08 Pt.upf
CELL_PARAMETERS angstrom
-0.915 -3.878 0.168
1.832 -0.279 3.531
-6.141 1.593 3.312
ATOMIC_POSITIONS angstrom
Cd -3.070 0.797 1.656
Si 0.458 -2.078 1.850
Pt -3.979 1.130 4.406
Pt -0.330 0.184 2.437
Pt -5.353 -0.669 2.724
Pt -1.703 -1.616 0.756
Pt -2.612 -1.282 3.506
```


Entry 6:
Entry from the Alexandria database: CdSi2Pt after structural relaxation (PBE-GGA). Values from VASP.

The structure in Quantum ESPRESSO input format:
```
&SYSTEM
  ibrav = 0, nat = 4, ntyp = 3
/
ATOMIC_SPECIES
Cd 112.41 Cd.upf
Pt 195.08 Pt.upf
Si 28.09 Si.upf
CELL_PARAMETERS angstrom
-4.892 -0.793 -0.999
-0.262 -2.298 -4.495
1.939 -0.710 4.614
ATOMIC_POSITIONS angstrom
Cd -2.586 -1.551 -2.757
Pt -0.273 -2.170 -1.125
Si -0.029 -0.017 -0.031
Si -2.904 -1.608 0.285
```


Entry 7:
Entry from the Alexandria database: CdSi2Pt after structural relaxation (PBE-GGA). Values from VASP.

The structure in Quantum ESPRESSO input format:
```
&SYSTEM
  ibrav = 0, nat = 4, ntyp = 3
/
ATOMIC_SPECIES
Cd 112.41 Cd.upf
Pt 195.08 Pt.upf
Si 28.09 Si.upf
CELL_PARAMETERS angstrom
4.140 0.000 0.000
0.000 3.961 0.137
0.000 0.430 4.738
ATOMIC_POSITIONS angstrom
Cd 2.070 1.098 1.219
Pt 2.070 3.293 3.656
Si 0.000 2.952 0.156
Si 0.000 3.205 2.418
```


Entry 8:
Entry from the Alexandria database: Cd2SiPt after structural relaxation (PBE-GGA). Values from VASP.

The structure in Quantum ESPRESSO input format:
```
&SYSTEM
  ibrav = 0, nat = 4, ntyp = 3
/
ATOMIC_SPECIES
Cd 112.41 Cd.upf
Pt 195.08 Pt.upf
Si 28.09 Si.upf
CELL_PARAMETERS angstrom
3.284 0.000 0.000
0.000 4.003 0.000
0.000 0.000 5.499
ATOMIC_POSITIONS angstrom
Cd 0.000 0.000 0.012
Cd 0.000 0.000 2.737
Pt 1.642 2.001 1.375
Si 1.642 2.001 4.124
```


Total DFT energy (no corrections) (eV per atom)
-3.255; -5.029; -3.531; -4.410; -5.655; -4.326; -4.560; -3.289
ΔE_f (raw) (eV/atom)
0.07; 0.05; -0.21; 0.04; -0.43; 0.12; -0.11; 0.03
V (Å³/cell)
72.2; 106.5; 77.2; 70.6; 113.8; 68.8; 77.5; 72.3